Compound: BaSrPbO3
Source: the Alexandria database
Functional: PBE-GGA
Structure: optimized geometry

The uncorrected formation energy comes out at -12.206 eV per formula unit. As for the total energy: -5.732 eV/atom.

```
12
Lattice="7.2104 0.0000 0.0000 0.0000 3.6379 0.0000 -0.2540 0.0000 10.3874" Properties=species:S:1:pos:R:3 pbc="T T T"
Ba 1.0352 0.9095 2.2597
Ba 5.9212 2.7284 8.1277
Sr 2.3957 2.7284 9.1807
Sr 4.5607 0.9095 1.2067
Pb 1.2778 0.9095 5.9832
Pb 5.6786 2.7284 4.4042
O 0.7627 2.7284 4.4874
O 0.7876 0.9095 8.3574
O 2.7296 2.7284 1.2091
O 4.2267 0.9095 9.1783
O 6.1687 2.7284 2.0301
O 6.1936 0.9095 5.9000
```